! Np5Al12Ag3, optimized geometry, DFT GGA-PBE; values from VASP
&SYSTEM
  ibrav = 0, nat = 80, ntyp = 3
/
ATOMIC_SPECIES
Np 237.00 Np.upf
Al 26.98 Al.upf
Ag 107.87 Ag.upf
CELL_PARAMETERS angstrom
-8.2190 8.2190 8.2190
8.2190 -8.2190 8.2190
8.2190 8.2190 -8.2190
ATOMIC_POSITIONS angstrom
Np 0.0000 0.0000 0.0000
Np 4.1095 4.1095 -4.1095
Np 4.1095 -4.1095 4.1095
Np 8.2190 0.0000 0.0000
Np 12.3285 2.0548 0.0000
Np 8.2190 -4.1095 6.1643
Np 6.1643 8.2190 -4.1095
Np 6.1643 0.0000 4.1095
Np 4.1095 6.1643 0.0000
Np 8.2190 4.1095 2.0548
Np -4.1095 4.1095 4.1095
Np 0.0000 8.2190 0.0000
Np 0.0000 0.0000 8.2190
Np 4.1095 4.1095 4.1095
Np 0.0000 4.1095 6.1643
Np 4.1095 2.0548 8.2190
Np 2.0548 8.2190 4.1095
Np 2.0548 0.0000 12.3285
Np 0.0000 12.3285 2.0548
Np -4.1095 6.1643 8.2190
Al 8.3043 -1.4211 2.4450
Al 12.2432 -1.6645 2.6884
Al 10.6640 -0.0853 1.4211
Al 9.8835 -2.6884 4.0242
Al 2.4450 0.0853 1.4211
Al 9.8835 5.5306 -4.0242
Al 5.5306 4.0242 -1.6645
Al 6.7979 2.4450 -0.0853
Al 1.4211 2.4450 0.0853
Al 10.9074 4.1948 -1.6645
Al 0.0853 1.4211 2.4450
Al 4.0242 -1.6645 5.5306
Al 8.3043 6.7979 -2.4450
Al 4.0242 1.6645 2.6884
Al 2.6884 4.0242 1.6645
Al 9.6401 5.7740 -0.0853
Al 6.7979 -2.4450 8.3043
Al 5.5306 -4.0242 9.8835
Al 1.6645 2.6884 4.0242
Al 2.4450 -0.0853 6.7979
Al 2.4450 8.3043 -1.4211
Al 9.8835 2.6884 4.1948
Al 4.0242 9.8835 -2.6884
Al 8.3043 1.4211 5.7740
Al -0.0853 6.7979 2.4450
Al 4.1948 -1.6645 10.9074
Al -1.6645 5.5306 4.0242
Al 5.7740 -0.0853 9.6401
Al 5.7740 8.3043 1.4211
Al 6.5545 5.5306 4.1948
Al 2.6884 12.2432 -1.6645
Al 1.4211 10.6640 -0.0853
Al -1.4211 2.4450 8.3043
Al 5.5306 4.1948 6.5545
Al 4.1948 6.5545 5.5306
Al -0.0853 1.4211 10.6640
Al 4.1948 9.8835 2.6884
Al 8.1337 6.7979 5.7740
Al -2.6884 4.0242 9.8835
Al 6.7979 5.7740 8.1337
Al 1.4211 5.7740 8.3043
Al 2.6884 4.1948 9.8835
Al -1.6645 2.6884 12.2432
Al 5.7740 8.1337 6.7979
Al -1.6645 10.9074 4.1948
Al -2.4450 8.3043 6.7979
Al -4.0242 9.8835 5.5306
Al -0.0853 9.6401 5.7740
Ag 4.1095 2.0548 0.0000
Ag 8.2190 4.1095 -2.0548
Ag 2.0548 0.0000 4.1095
Ag 10.2738 0.0000 4.1095
Ag 0.0000 4.1095 2.0548
Ag 4.1095 -2.0548 8.2190
Ag 4.1095 10.2738 0.0000
Ag 8.2190 4.1095 6.1643
Ag -2.0548 8.2190 4.1095
Ag 6.1643 8.2190 4.1095
Ag 0.0000 4.1095 10.2738
Ag 4.1095 6.1643 8.2190
! VASP energy: -102.20 eV/f.u.
! Symmetry: Ia-3d, No. 230
! Theoretical density: 5.5 g cm⁻³
! N(E_F): 205.736 states/eV per cell
! Crystal system: cubic